# 1
{
  "formula": "TbNdScZn",
  "functional": "PBE",
  "state": "relaxed",
  "de_polymorph_ev_per_atom": 0.000,
  "space_group": "P4mm (99)",
  "magnetic_moment_mub_per_atom": 0.00,
  "crystal_system": "tetragonal",
  "lattice": [[3.503, 0.000, 0.000], [0.000, 3.503, 0.000], [0.000, 0.000, 8.543]],
  "species": ["Tb", "Nd", "Sc", "Zn"],
  "fractional_positions": [[0.000, 0.000, 0.000], [0.500, 0.500, 0.314], [0.000, 0.000, 0.600], [0.500, 0.500, 0.774]]
}

***

# 2
{
  "formula": "POs2Cl",
  "functional": "PBE",
  "state": "relaxed",
  "de_polymorph_ev_per_atom": 0.175,
  "space_group": "P4mm (99)",
  "magnetic_moment_mub_per_atom": 0.00,
  "e_form_raw_ev_per_fu": 1.591,
  "crystal_system": "tetragonal",
  "lattice": [[2.838, 0.000, 0.000], [0.000, 2.838, 0.000], [0.000, 0.000, 8.729]],
  "species": ["P", "Os", "Os", "Cl"],
  "fractional_positions": [[0.000, 0.000, 0.000], [0.000, 0.000, 0.614], [0.500, 0.500, 0.816], [0.500, 0.500, 0.408]]
}

***

# 3
{
  "formula": "LaYTeS",
  "functional": "PBE",
  "state": "relaxed",
  "space_group": "R3m (160)",
  "magnetic_moment_mub_per_atom": 0.00,
  "e_form_raw_ev_per_fu": -7.053,
  "crystal_system": "trigonal",
  "lattice": [[2.063, 1.191, 7.408], [-2.063, 1.191, 7.408], [0.000, -2.383, 7.408]],
  "species": ["La", "Y", "Te", "S"],
  "fractional_positions": [[0.000, 0.000, 0.000], [0.194, 0.194, 0.194], [0.435, 0.435, 0.435], [0.594, 0.594, 0.594]]
}

***

# 4
{
  "formula": "YMnP2",
  "functional": "PBE",
  "state": "relaxed",
  "de_polymorph_ev_per_atom": 0.386,
  "space_group": "Cmmm (65)",
  "magnetic_moment_mub_per_atom": 0.96,
  "crystal_system": "orthorhombic",
  "lattice": [[2.976, -3.382, 0.000], [2.976, 3.382, 0.000], [0.000, 0.000, 3.523]],
  "species": ["Y", "Mn", "P", "P"],
  "fractional_positions": [[0.000, 0.000, 0.000], [0.500, 0.500, 0.000], [0.000, 0.500, 0.500], [0.500, 0.000, 0.500]]
}

***

# 5
{
  "formula": "Li2PRh",
  "functional": "PBE",
  "state": "relaxed",
  "energy_ev_per_cell": -37.61,
  "space_group": "P4/nmm (129)",
  "magnetic_moment_mub_per_atom": 0.00,
  "crystal_system": "tetragonal",
  "lattice": [[4.156, 0.000, 0.000], [0.000, 4.156, 0.000], [0.000, 0.000, 5.704]],
  "species": ["Li", "Li", "Li", "Li", "P", "P", "Rh", "Rh"],
  "fractional_positions": [[0.250, 0.250, 0.235], [0.250, 0.750, 0.000], [0.750, 0.250, 0.000], [0.750, 0.750, 0.765], [0.250, 0.250, 0.737], [0.750, 0.750, 0.263], [0.250, 0.750, 0.500], [0.750, 0.250, 0.500]]
}

***

# 6
{
  "formula": "GaAgPb",
  "functional": "PBE",
  "state": "relaxed",
  "energy_ev_per_cell": -18.96,
  "space_group": "Pm (6)",
  "magnetic_moment_mub_per_atom": 0.00,
  "crystal_system": "monoclinic",
  "lattice": [[3.573, 0.000, 0.000], [0.000, 3.568, 0.000], [-0.021, 0.000, 10.619]],
  "species": ["Ga", "Ga", "Ag", "Ag", "Pb", "Pb"],
  "fractional_positions": [[0.000, 0.000, 0.000], [0.499, 0.500, 0.133], [0.500, 0.500, 0.871], [0.999, 0.000, 0.734], [0.000, 0.000, 0.310], [0.499, 0.500, 0.561]]
}

***

# 7
{
  "formula": "Ag3SbF",
  "functional": "PBE",
  "state": "relaxed",
  "de_polymorph_ev_per_atom": 0.000,
  "space_group": "Pm-3m (221)",
  "magnetic_moment_mub_per_atom": 0.00,
  "e_form_raw_ev_per_fu": -0.624,
  "crystal_system": "cubic",
  "lattice": [[4.660, 0.000, 0.000], [0.000, 4.660, 0.000], [0.000, 0.000, 4.660]],
  "species": ["Ag", "Ag", "Ag", "Sb", "F"],
  "fractional_positions": [[0.000, 0.000, 0.500], [0.000, 0.500, 0.000], [0.500, 0.000, 0.000], [0.500, 0.500, 0.500], [0.000, 0.000, 0.000]]
}

***

# 8
{
  "formula": "Zr2TcBiH",
  "functional": "PBE",
  "state": "relaxed",
  "energy_ev_per_cell": -35.58,
  "space_group": "P4/mmm (123)",
  "magnetic_moment_mub_per_atom": 0.00,
  "crystal_system": "tetragonal",
  "lattice": [[4.538, 0.000, 0.000], [0.000, 4.538, 0.000], [0.000, 0.000, 4.080]],
  "species": ["Zr", "Zr", "Tc", "Bi", "H"],
  "fractional_positions": [[0.000, 0.500, 0.000], [0.500, 0.000, 0.000], [0.000, 0.000, 0.500], [0.500, 0.500, 0.500], [0.000, 0.000, 0.000]]
}

***

# 9
{
  "formula": "NbCrRh2",
  "functional": "PBE",
  "state": "relaxed",
  "energy_ev_per_cell": -66.28,
  "space_group": "I-42d (122)",
  "magnetic_moment_mub_per_atom": 0.28,
  "crystal_system": "tetragonal",
  "lattice": [[-1.935, 1.935, 8.623], [1.935, -1.935, 8.623], [1.935, 1.935, -8.623]],
  "species": ["Nb", "Nb", "Cr", "Cr", "Rh", "Rh", "Rh", "Rh"],
  "fractional_positions": [[0.000, 0.000, 0.000], [0.750, 0.250, 0.500], [0.250, 0.750, 0.500], [0.500, 0.500, 0.000], [0.144, 0.625, 0.019], [0.375, 0.394, 0.519], [0.606, 0.125, 0.981], [0.875, 0.856, 0.481]]
}

***

# 10
{
  "formula": "MgH6Br2N2",
  "functional": "PBE",
  "state": "relaxed",
  "energy_ev_per_cell": -200.36,
  "space_group": "Pnma (62)",
  "magnetic_moment_mub_per_atom": 0.00,
  "crystal_system": "orthorhombic",
  "lattice": [[6.063, 0.000, 0.000], [0.000, 8.051, 0.000], [0.000, 0.000, 12.146]],
  "species": ["Mg", "Mg", "Mg", "Mg", "H", "H", "H", "H", "H", "H", "H", "H", "H", "H", "H", "H", "H", "H", "H", "H", "H", "H", "H", "H", "H", "H", "H", "H", "Br", "Br", "Br", "Br", "Br", "Br", "Br", "Br", "N", "N", "N", "N", "N", "N", "N", "N"],
  "fractional_positions": [[0.000, 0.250, 0.001], [0.000, 0.750, 0.999], [0.500, 0.250, 0.499], [0.500, 0.750, 0.501], [0.096, 0.250, 0.397], [0.134, 0.649, 0.389], [0.134, 0.851, 0.389], [0.212, 0.250, 0.801], [0.230, 0.649, 0.818], [0.230, 0.851, 0.818], [0.270, 0.149, 0.318], [0.270, 0.351, 0.318], [0.288, 0.750, 0.301], [0.366, 0.149, 0.889], [0.366, 0.351, 0.889], [0.404, 0.750, 0.897], [0.596, 0.250, 0.103], [0.634, 0.649, 0.111], [0.634, 0.851, 0.111], [0.712, 0.250, 0.699], [0.730, 0.649, 0.682], [0.730, 0.851, 0.682], [0.770, 0.149, 0.182], [0.770, 0.351, 0.182], [0.788, 0.750, 0.199], [0.866, 0.149, 0.611], [0.866, 0.351, 0.611], [0.904, 0.750, 0.603], [0.220, 0.504, 0.111], [0.220, 0.996, 0.111], [0.280, 0.004, 0.611], [0.280, 0.496, 0.611], [0.720, 0.504, 0.389], [0.720, 0.996, 0.389], [0.780, 0.004, 0.889], [0.780, 0.496, 0.889], [0.236, 0.750, 0.381], [0.244, 0.750, 0.869], [0.256, 0.250, 0.369], [0.264, 0.250, 0.881], [0.736, 0.750, 0.119], [0.744, 0.750, 0.631], [0.756, 0.250, 0.131], [0.764, 0.250, 0.619]]
}

***

# 11
{
  "formula": "CaCSeBr2",
  "functional": "PBE",
  "state": "relaxed",
  "de_polymorph_ev_per_atom": 0.845,
  "space_group": "P4/mmm (123)",
  "magnetic_moment_mub_per_atom": 0.00,
  "e_form_raw_ev_per_fu": 4.838,
  "crystal_system": "tetragonal",
  "lattice": [[5.471, 0.000, 0.000], [0.000, 5.471, 0.000], [0.000, 0.000, 5.814]],
  "species": ["Ca", "C", "Se", "Br", "Br"],
  "fractional_positions": [[0.000, 0.000, 0.000], [0.500, 0.500, 0.500], [0.000, 0.000, 0.500], [0.000, 0.500, 0.000], [0.500, 0.000, 0.000]]
}

***

# 12
{
  "formula": "PaP2Os2",
  "functional": "PBE",
  "state": "relaxed",
  "energy_ev_per_cell": -92.60,
  "space_group": "P2_1/m (11)",
  "magnetic_moment_mub_per_atom": 0.00,
  "crystal_system": "monoclinic",
  "lattice": [[4.164, 0.000, 0.000], [0.000, 4.156, 0.000], [-0.579, 0.000, 9.340]],
  "species": ["Pa", "Pa", "P", "P", "P", "P", "Os", "Os", "Os", "Os"],
  "fractional_positions": [[0.224, 0.250, 0.258], [0.776, 0.750, 0.742], [0.163, 0.750, 0.988], [0.269, 0.250, 0.641], [0.731, 0.750, 0.359], [0.837, 0.250, 0.012], [0.249, 0.750, 0.501], [0.338, 0.250, 0.897], [0.662, 0.750, 0.103], [0.751, 0.250, 0.499]]
}

***

Q: Number 5 is which compound?
A: Li2PRh

***

Copy entry 8 word for word.
{
  "formula": "Zr2TcBiH",
  "functional": "PBE",
  "state": "relaxed",
  "energy_ev_per_cell": -35.58,
  "space_group": "P4/mmm (123)",
  "magnetic_moment_mub_per_atom": 0.00,
  "crystal_system": "tetragonal",
  "lattice": [[4.538, 0.000, 0.000], [0.000, 4.538, 0.000], [0.000, 0.000, 4.080]],
  "species": ["Zr", "Zr", "Tc", "Bi", "H"],
  "fractional_positions": [[0.000, 0.500, 0.000], [0.500, 0.000, 0.000], [0.000, 0.000, 0.500], [0.500, 0.500, 0.500], [0.000, 0.000, 0.000]]
}